Compound: Ti3Ni6Ir
Source: Alexandria via LeMat-Bulk
Functional: GGA-PBE
Structure: optimized geometry

abc: 4.3994 8.1533 8.1533
angles: 115.86 90.00 90.00
Fractional positions:
Ti (0.4658, 0.9340, 0.7330)
Ti (0.9658, 0.7330, 0.9340)
Ti (0.0713, 0.4009, 0.5991)
Ti (0.5713, 0.5991, 0.4009)
Ti (0.9658, 0.0660, 0.2670)
Ti (0.4658, 0.2670, 0.0660)
Ni (0.0349, 0.7091, 0.6086)
Ni (0.5349, 0.6086, 0.7091)
Ni (0.3564, 0.5320, 0.9553)
Ni (0.8564, 0.9553, 0.5320)
Ni (0.4437, 0.9576, 0.0424)
Ni (0.6285, 0.2936, 0.7064)
Ni (0.1285, 0.7064, 0.2936)
Ni (0.9437, 0.0424, 0.9576)
Ni (0.3564, 0.0447, 0.4680)
Ni (0.8564, 0.4680, 0.0447)
Ni (0.0349, 0.3914, 0.2909)
Ni (0.5349, 0.2909, 0.3914)
Ir (0.1276, 0.2104, 0.7896)
Ir (0.6276, 0.7896, 0.2104)

Computed properties:
uncorrected energy = -6.99 eV/atom
crystal system = orthorhombic
energy of formation from the pure elements = -0.269 eV/atom
D(E_F) = 18.71 states/eV per cell

---

Compound: Pu2U3S8
Source: Alexandria via LeMat-Bulk
Functional: GGA-PBE
Structure: optimized geometry

abc: 4.6996 9.3452 8.1768
angles: 124.85 90.00 90.00
Fractional positions:
Pu (0.5000, 0.2659, 0.5318)
Pu (0.5000, 0.7341, 0.4682)
U (0.5000, 0.0000, 0.0000)
U (0.0000, 0.2734, 0.0000)
U (0.0000, 0.7266, 0.0000)
S (0.0000, 0.6251, 0.2502)
S (0.0000, 0.3749, 0.7498)
S (0.0000, 0.1147, 0.2293)
S (0.0000, 0.8853, 0.7707)
S (0.5000, 0.6404, 0.7598)
S (0.5000, 0.1193, 0.7597)
S (0.5000, 0.8807, 0.2403)
S (0.5000, 0.3596, 0.2402)

Computed properties:
uncorrected energy = -8.77 eV/atom
crystal system = orthorhombic
D(E_F) = 30.61 states/eV per cell
raw formation energy = -32.825 kcal/mol of atoms

---

Compound: AcLaAl
Source: Alexandria via LeMat-Bulk
Functional: GGA-PBE
Structure: optimized geometry

abc: 5.1329 7.1843 6.9957
angles: 120.90 111.52 90.00
Fractional positions:
Al (0.8730, 0.3730, 0.7461)
Al (0.1270, 0.6270, 0.2539)
La (0.5000, 0.7266, 0.0000)
La (0.5000, 0.2734, 0.0000)
Ac (0.1860, 0.1860, 0.3720)
Ac (0.8140, 0.8140, 0.6280)

Computed properties:
uncorrected energy = -4.44 eV/atom
crystal system = orthorhombic
energy of formation from the pure elements = -0.177 eV/atom
D(E_F) = 6.70 states/eV per cell